Record 1
# Ta2CrMo

A relaxed Ta2CrMo crystal (GGA-PBE, the Alexandria database).

Cell and atoms, written as extended XYZ:
```
4
Lattice="3.1524 0.0000 0.0000 0.0000 3.1524 0.0000 0.0000 0.0000 6.4229" Properties=species:S:1:pos:R:3 pbc="T T T"
Ta 0.0000 0.0000 0.0000
Ta 1.5762 1.5762 1.7634
Cr 0.0000 0.0000 3.3131
Mo 1.5762 1.5762 4.7745
```

Results
For the calculated volume, the calculation gives 63.8 Å³ per cell. As for the formation energy: -0.0306 eV per atom. As for the raw total energy: -11.071 eV per atom.


Record 2
# LiAcSnRh

A relaxed LiAcSnRh crystal (GGA-PBE, the Alexandria database).

Cell and atoms, written as extended XYZ:
```
12
Lattice="4.6859 0.0000 0.0000 -2.3429 4.0581 0.0000 0.0000 0.0000 15.1207" Properties=species:S:1:pos:R:3 pbc="T T T"
Li 0.0000 0.0000 0.0000
Li 0.0000 2.7054 10.0805
Li 2.3429 1.3527 5.0402
Ac 0.0000 0.0000 12.1001
Ac 0.0000 2.7054 7.0599
Ac 2.3429 1.3527 2.0196
Sn 0.0000 0.0000 4.3450
Sn 0.0000 2.7054 14.4255
Sn 2.3429 1.3527 9.3852
Rh 0.0000 0.0000 9.1352
Rh 0.0000 2.7054 4.0949
Rh 2.3429 1.3527 14.1754
```

Results
For the calculated volume, the calculation gives 287.6 Å³ per cell. As for the formation energy: -0.5909 eV per atom. As for the raw total energy: -4.935 eV per atom. For the energy above the most stable polymorph in this dataset, the calculation gives 0 meV/atom.


Record 3
# HoEr2SnC

A relaxed HoEr2SnC crystal (GGA-PBE, the Alexandria database).

Cell and atoms, written as extended XYZ:
```
5
Lattice="4.8376 0.0000 0.0000 0.0000 4.8376 0.0000 0.0000 0.0000 4.8618" Properties=species:S:1:pos:R:3 pbc="T T T"
Ho 0.0000 0.0000 0.0000
Er 0.0000 2.4188 2.4309
Er 2.4188 0.0000 2.4309
Sn 2.4188 2.4188 0.0000
C 0.0000 0.0000 2.4309
```

Results
For the calculated volume, the calculation gives 113.8 Å³ per cell. As for the formation energy: -0.6512 eV per atom. As for the raw total energy: -6.037 eV per atom.


Record 4
# MnSnPd3

A relaxed MnSnPd3 crystal (GGA-PBE, the Alexandria database).

Cell and atoms, written as extended XYZ:
```
5
Lattice="4.8009 0.0000 0.0000 0.0000 4.8009 0.0000 0.0000 0.0000 4.8009" Properties=species:S:1:pos:R:3 pbc="T T T"
Mn 0.0000 0.0000 0.0000
Sn 2.4004 2.4004 2.4004
Pd 0.0000 0.0000 2.4004
Pd 0.0000 2.4004 0.0000
Pd 2.4004 0.0000 0.0000
```

Results
For the calculated volume, the calculation gives 110.7 Å³ per cell. As for the formation energy: 0.4795 eV per atom. As for the raw total energy: -5.271 eV per atom. For the energy above the most stable polymorph in this dataset, the calculation gives 880 meV/atom.